# 1
Here is a relaxed structure of RbCa2Zn2 from Alexandria via LeMat-Bulk. Energies are from PBE-GGA.

The structure in extended XYZ format:
```
10
Lattice="-4.158 7.032 -3.593 -3.729 1.832 7.899 3.202 2.383 0.959" Properties=species:S:1:pos:R:3 pbc="T T T"
Ca -3.187 7.752 0.162
Ca -0.411 3.894 0.482
Ca -4.274 7.353 4.783
Ca -1.498 3.495 5.103
Zn -5.973 7.351 1.676
Zn -2.985 4.534 -1.302
Zn -4.902 4.330 5.608
Zn -1.914 1.513 2.630
Rb 0.000 0.000 0.000
Rb -3.943 4.432 2.153
```

Calculated values
Formation energy from the elements ... 1.8 kJ per mole of atoms
Size of the total moment ... 0.0 μB per formula unit
ΔE to the lowest computed polymorph ... 0.0 meV per atom


# 2
Here is a relaxed structure of RbCa2Zn from Alexandria via LeMat-Bulk. Energies are from PBE-GGA.

The structure in extended XYZ format:
```
4
Lattice="-2.733 2.628 0.521 -2.565 -2.351 -1.595 -2.231 -4.283 9.902" Properties=species:S:1:pos:R:3 pbc="T T T"
Ca -1.876 -3.602 8.328
Ca -0.355 -0.681 1.574
Zn -2.649 0.139 -0.537
Rb -3.764 -2.003 4.414
```

Calculated values
Formation energy from the elements ... -0.5 kJ per mole of atoms
Size of the total moment ... 0.0 μB per formula unit


# 3
Here is a relaxed structure of Rb2CaZn2 from Alexandria via LeMat-Bulk. Energies are from PBE-GGA.

The structure in extended XYZ format:
```
10
Lattice="-7.481 -2.017 2.634 1.115 -7.647 -2.691 2.314 -1.557 5.381" Properties=species:S:1:pos:R:3 pbc="T T T"
Zn -1.902 -7.557 -1.368
Zn -0.420 -3.183 -0.740
Zn -4.464 -2.108 1.310
Zn -5.946 -6.481 0.683
Rb -4.650 -4.925 3.989
Rb 0.599 -6.296 1.335
Rb -1.076 -2.774 3.074
Rb -2.975 -8.447 2.250
Ca 0.000 0.000 0.000
Ca -3.183 -4.832 -0.029
```

Calculated values
Formation energy from the elements ... 13.7 kJ per mole of atoms
Size of the total moment ... 0.0 μB per formula unit


# 4
Here is a relaxed structure of Rb2CaZn from Alexandria via LeMat-Bulk. Energies are from PBE-GGA.

The structure in extended XYZ format:
```
8
Lattice="12.439 0.000 0.000 0.000 12.439 0.000 6.220 6.220 3.094" Properties=species:S:1:pos:R:3 pbc="T T T"
Ca 6.220 6.220 0.000
Ca 6.220 12.439 1.547
Rb 15.549 17.082 2.321
Rb 1.577 9.330 0.774
Rb 10.862 3.110 0.774
Rb 9.330 7.797 2.321
Zn 0.000 0.000 0.000
Zn 12.439 6.220 1.547
```

Calculated values
Formation energy from the elements ... 25.0 kJ per mole of atoms
Size of the total moment ... 0.0 μB per formula unit


# 5
Here is a relaxed structure of RbCa2Zn2 from Alexandria via LeMat-Bulk. Energies are from PBE-GGA.

The structure in extended XYZ format:
```
5
Lattice="-4.697 -2.404 -0.588 1.354 -3.552 3.706 -4.117 0.717 5.994" Properties=species:S:1:pos:R:3 pbc="T T T"
Ca -2.217 -2.906 5.629
Ca -5.243 -2.332 3.483
Zn -5.283 -3.025 6.636
Zn -2.177 -2.214 2.476
Rb 0.000 0.000 0.000
```

Calculated values
Formation energy from the elements ... 5.2 kJ per mole of atoms
Size of the total moment ... 0.0 μB per formula unit
ΔE to the lowest computed polymorph ... 35.4 meV per atom


# 6
Here is a relaxed structure of RbCa2Zn2 from Alexandria via LeMat-Bulk. Energies are from PBE-GGA.

The structure in extended XYZ format:
```
10
Lattice="9.356 0.000 0.000 0.000 9.356 0.000 0.000 0.000 3.631" Properties=species:S:1:pos:R:3 pbc="T T T"
Zn 6.171 7.863 1.816
Zn 7.863 3.185 1.816
Zn 1.493 6.171 1.816
Zn 3.185 1.493 1.816
Rb 4.678 4.678 0.000
Rb 0.000 0.000 0.000
Ca 5.907 1.229 0.000
Ca 8.127 5.907 0.000
Ca 1.229 3.449 0.000
Ca 3.449 8.127 0.000
```

Calculated values
Formation energy from the elements ... 3.7 kJ per mole of atoms
Size of the total moment ... 0.0 μB per formula unit
ΔE to the lowest computed polymorph ... 20.3 meV per atom